An optimized crystal structure of TeP3C, computed with PBE.

Properties
Its space group is No. 221. As for the total energy: -4.57 eV per atom. The relative energy among the computed polymorphs is 0 meV/atom.

abc: 4.222 4.222 4.222
angles: 90.00 90.00 90.00
Fractional positions:
P (0.500, 0.000, 0.000)
P (0.000, 0.500, 0.000)
P (0.000, 0.000, 0.500)
Te (0.500, 0.500, 0.500)
C (0.000, 0.000, 0.000)



An optimized crystal structure of Li4Ac3Tl2, computed with PBE.

Properties
Its space group is No. 12. As for the total energy: -2.89 eV per atom. Its energy relative to the elements is -0.146 eV/atom.

abc: 5.177 6.330 9.387
angles: 75.99 73.99 65.86
Fractional positions:
Li (0.706, 0.631, 0.958)
Li (0.028, 0.309, 0.636)
Li (0.294, 0.369, 0.042)
Li (0.972, 0.691, 0.364)
Ac (0.000, 0.000, 0.000)
Ac (0.681, 0.288, 0.350)
Ac (0.319, 0.712, 0.650)
Tl (0.417, 0.907, 0.259)
Tl (0.583, 0.093, 0.741)



An optimized crystal structure of Sc6Ga2Tc, computed with PBE.

Properties
Its space group is No. 189. As for the total energy: -6.43 eV per atom. Its energy relative to the elements is -0.386 eV/atom.

abc: 3.613 7.755 7.754
angles: 120.00 90.00 90.00
Fractional positions:
Ga (0.000, 0.667, 0.333)
Ga (0.000, 0.333, 0.667)
Sc (0.500, 0.607, 0.000)
Sc (0.000, 0.745, 0.745)
Sc (0.000, 0.255, 0.000)
Sc (0.500, 0.393, 0.393)
Sc (0.000, 0.000, 0.255)
Sc (0.500, 0.000, 0.607)
Tc (0.500, 0.000, 0.000)



An optimized crystal structure of NaPtPb, computed with PBE.

Properties
Its space group is No. 156. As for the total energy: -3.86 eV per atom. Its energy relative to the elements is -0.167 eV/atom.

abc: 3.118 4.912 4.912
angles: 120.00 90.00 90.00
Fractional positions:
Na (0.666, 0.667, 0.333)
Pb (0.168, 0.333, 0.667)
Pt (0.166, 0.000, 0.000)



An optimized crystal structure of SmGaBiAu, computed with PBE.

Properties
Its space group is No. 216. As for the total energy: -4.14 eV per atom. Its energy relative to the elements is -0.415 eV/atom.

abc: 5.192 5.192 5.192
angles: 60.00 60.00 60.00
Fractional positions:
Sm (0.000, 0.000, 0.000)
Ga (0.750, 0.750, 0.750)
Bi (0.500, 0.500, 0.500)
Au (0.250, 0.250, 0.250)



An optimized crystal structure of HoMg7Tl4, computed with PBE.

Properties
Its space group is No. 12. As for the total energy: -1.98 eV per atom. Its energy relative to the elements is 0.117 eV/atom.

abc: 5.731 9.314 6.863
angles: 84.10 65.32 72.08
Fractional positions:
Mg (0.657, 0.434, 0.252)
Mg (0.500, 0.000, 0.000)
Mg (0.220, 0.095, 0.465)
Mg (0.343, 0.566, 0.748)
Mg (0.064, 0.650, 0.221)
Mg (0.780, 0.905, 0.535)
Mg (0.936, 0.350, 0.779)
Tl (0.724, 0.677, 0.875)
Tl (0.581, 0.227, 0.610)
Tl (0.276, 0.323, 0.125)
Tl (0.419, 0.773, 0.390)
Ho (0.000, 0.000, 0.000)



An optimized crystal structure of Zn2ReH8, computed with PBE.

Properties
Its space group is No. 12. As for the total energy: -3.65 eV per atom.

abc: 2.802 5.249 7.689
angles: 80.93 100.50 90.00
Fractional positions:
H (0.534, 0.308, 0.069)
H (0.613, 0.841, 0.227)
H (0.466, 0.692, 0.931)
H (0.967, 0.213, 0.933)
H (0.790, 0.771, 0.579)
H (0.387, 0.159, 0.773)
H (0.033, 0.787, 0.067)
H (0.210, 0.229, 0.421)
Re (0.500, 0.000, 0.000)
Zn (0.653, 0.158, 0.306)
Zn (0.347, 0.842, 0.694)



An optimized crystal structure of SrLaTe2, computed with PBE.

Properties
Its space group is No. 10. As for the total energy: -4.70 eV per atom. The relative energy among the computed polymorphs is 184 meV/atom.

abc: 3.993 3.992 8.978
angles: 63.66 90.00 90.00
Fractional positions:
La (0.500, 0.250, 0.250)
Sr (0.500, 0.750, 0.750)
Te (0.000, 0.990, 0.010)
Te (0.000, 0.510, 0.490)